Material: KZrP
Method: DFT, GGA-PBE
State: optimized geometry

Geometry as POSCAR:
```
KZrP
1.0
4.741 0.000 0.000
2.370 4.106 0.000
2.370 1.369 3.871
K P Zr
1 1 1
Direct
0.500 0.500 0.500
0.750 0.750 0.750
0.000 0.000 0.000
```

Computed properties:
VASP energy, eV/atom: -4.796
Total magnetic moment, μB per formula unit: 0.995
DOS at the Fermi energy, states/eV/cell: 3.5

Material: K4ZrP
Method: DFT, GGA-PBE
State: optimized geometry

Geometry as POSCAR:
```
K4ZrP
1.0
0.000 4.790 4.790
4.790 0.000 4.790
4.790 4.790 0.000
K Zr P
4 1 1
Direct
0.869 0.377 0.377
0.377 0.377 0.869
0.377 0.869 0.377
0.377 0.377 0.377
0.000 0.000 0.000
0.750 0.750 0.750
```

Computed properties:
VASP energy, eV/atom: -2.083
Total magnetic moment, μB per formula unit: 4.345
DOS at the Fermi energy, states/eV/cell: 10.9

Material: KZr3P
Method: DFT, GGA-PBE
State: optimized geometry

Geometry as POSCAR:
```
KZr3P
1.0
4.855 0.000 0.000
0.000 4.855 0.000
0.000 0.000 4.855
P K Zr
1 1 3
Direct
0.500 0.500 0.500
0.000 0.000 0.000
0.000 0.500 0.000
0.000 0.000 0.500
0.500 0.000 0.000
```

Computed properties:
Total magnetic moment, μB per formula unit: 2.053
E above lowest polymorph, meV/atom: 1873
DOS at the Fermi energy, states/eV/cell: 6.2